1.
La2TmRh | PBE-GGA | optimized geometry

Cell: 6.352 7.307 10.163 Å, 90.00 90.00 90.00°
Sites, in units of the cell vectors:
Tm: 0.341 0.461 0.750
Tm: 0.841 0.039 0.250
Tm: 0.659 0.539 0.250
Tm: 0.159 0.961 0.750
La: 0.172 0.673 0.434
La: 0.672 0.827 0.934
La: 0.328 0.173 0.434
La: 0.328 0.173 0.066
La: 0.672 0.827 0.566
La: 0.172 0.673 0.066
La: 0.828 0.327 0.934
La: 0.828 0.327 0.566
Rh: 0.059 0.374 0.250
Rh: 0.441 0.874 0.250
Rh: 0.941 0.626 0.750
Rh: 0.559 0.126 0.750

Results
Energy above the most stable polymorph in this dataset   0 meV per atom
Crystal system   orthorhombic
Raw total energy   -5.885 eV per atom

---

2.
LiPuAlHg | PBE-GGA | optimized geometry

Cell: 4.995 4.995 4.995 Å, 60.00 60.00 60.00°
Sites, in units of the cell vectors:
Pu: 0.500 0.500 0.500
Li: 0.000 0.000 0.000
Al: 0.250 0.250 0.250
Hg: 0.750 0.750 0.750

Results
Crystal system   cubic
Raw total energy   -5.143 eV per atom

---

3.
Ho4PaRu5 | PBE-GGA | optimized geometry

Cell: 3.411 3.411 16.961 Å, 90.00 90.00 90.00°
Sites, in units of the cell vectors:
Ru: 0.500 0.500 0.298
Ru: 0.500 0.500 0.702
Ru: 0.500 0.500 0.500
Ru: 0.500 0.500 0.912
Ru: 0.500 0.500 0.088
Ho: 0.000 0.000 0.402
Ho: 0.000 0.000 0.795
Ho: 0.000 0.000 0.205
Ho: 0.000 0.000 0.598
Pa: 0.000 0.000 0.000

Results
Energy above the most stable polymorph in this dataset   0 meV per atom
Crystal system   tetragonal
Raw total energy   -7.867 eV per atom

---

4.
SrSc2Al | PBE-GGA | optimized geometry

Cell: 6.446 6.446 3.247 Å, 76.50 76.50 118.00°
Sites, in units of the cell vectors:
Sc: 0.000 0.000 0.000
Sc: 0.500 0.500 0.000
Sr: 0.500 0.000 0.500
Al: 0.000 0.500 0.500

Results
Crystal system   monoclinic
Raw total energy   -4.318 eV per atom